# LaSmTc

A relaxed structure of LaSmTc (PBE, the Alexandria database).

abc: 7.215 7.215 7.215
angles: 151.74 151.74 40.39
Fractional coordinates of all 3 atoms:
La: 0.000 0.000 0.000
Sm: 0.749 0.749 0.000
Tc: 0.372 0.372 0.000

Results
Its total moment is 0.0 μB per cell. The energy above the most stable polymorph in this dataset comes out at 25 meV/atom. The calculation puts the energy at -19.79 eV for the cell shown. As for the formation energy: 74 meV per atom.